1.
Computed, not measured: a crystal of BaLa2Mg relaxed with PBEsol at the SCAN level of DFT.

abc: 3.821 3.821 9.972
angles: 90.00 90.00 90.00
Space group P4mm (No. 99)
Unique sites:
Ba: 0.000 0.000 0.000
La: 0.000 0.000 0.541
La: 0.500 0.500 0.309
Mg: 0.500 0.500 0.750

Computed properties:
D(E_F) (states/eV per cell): 4.92
Calculated volume (Å³/cell): 146
ΔH_f (0 K) (eV/atom): 0.0192

2.
Computed, not measured: a crystal of Ba2LaMg relaxed with PBEsol at the SCAN level of DFT.

abc: 3.834 5.546 7.608
angles: 90.00 93.14 90.00
Space group P2/m (No. 10)
Unique sites:
Ba: 0.013 0.000 0.257
La: 0.500 0.500 0.000
Mg: 0.500 0.500 0.500

Computed properties:
D(E_F) (states/eV per cell): 5.18
Calculated volume (Å³/cell): 162
ΔH_f (0 K) (eV/atom): 0.1632

3.
Computed, not measured: a crystal of Ba2LaMg relaxed with PBEsol at the SCAN level of DFT.

abc: 4.121 4.121 9.944
angles: 90.00 90.00 90.00
Space group P4mm (No. 99)
Unique sites:
Ba: 0.000 0.000 0.000
Ba: 0.500 0.500 0.338
La: 0.000 0.000 0.604
Mg: 0.500 0.500 0.773

Computed properties:
D(E_F) (states/eV per cell): 4.46
Calculated volume (Å³/cell): 169
ΔH_f (0 K) (eV/atom): 0.0208

4.
Computed, not measured: a crystal of BaLa2Mg relaxed with PBEsol at the SCAN level of DFT.

abc: 5.114 5.114 10.539
angles: 90.00 90.00 90.00
Space group I4/mmm (No. 139)
Unique sites:
Ba: 0.000 0.000 0.000
La: 0.000 0.500 0.250
Mg: 0.000 0.000 0.500

Computed properties:
D(E_F) (states/eV per cell): 9.40
Calculated volume (Å³/cell): 276
ΔH_f (0 K) (eV/atom): 0.1272

5.
Computed, not measured: a crystal of BaLa2Mg relaxed with PBEsol at the SCAN level of DFT.

abc: 4.041 5.892 11.957
angles: 90.00 90.00 90.00
Space group Imm2 (No. 44)
Unique sites:
Ba: 0.000 0.000 0.000
La: 0.000 0.000 0.537
La: 0.000 0.500 0.775
Mg: 0.000 0.500 0.261

Computed properties:
D(E_F) (states/eV per cell): 9.68
Calculated volume (Å³/cell): 285
ΔH_f (0 K) (eV/atom): 0.1055

6.
Computed, not measured: a crystal of BaLa7Mg5Nb3O24 relaxed with PBEsol at the SCAN level of DFT.

abc: 5.633 9.749 9.788
angles: 99.48 90.36 106.74
Space group P1 (No. 1)
Unique sites:
Ba: 0.000 0.000 0.000
La: 0.134 0.277 0.389
La: 0.247 0.511 0.740
La: 0.369 0.742 0.153
La: 0.498 0.983 0.494
La: 0.620 0.257 0.890
La: 0.766 0.510 0.262
La: 0.845 0.731 0.614
Mg: 0.188 0.379 0.069
Mg: 0.309 0.627 0.444
Mg: 0.436 0.874 0.813
Mg: 0.679 0.372 0.567
Mg: 0.939 0.880 0.319
Nb: 0.059 0.127 0.688
Nb: 0.564 0.125 0.194
Nb: 0.810 0.627 0.941
O: 0.028 0.477 0.520
O: 0.028 0.497 0.953
O: 0.075 0.758 0.852
O: 0.087 0.760 0.426
O: 0.173 0.237 0.882
O: 0.201 0.527 0.243
O: 0.285 0.974 0.258
O: 0.299 0.014 0.709
O: 0.320 0.283 0.614
O: 0.340 0.252 0.178
O: 0.422 0.723 0.644
O: 0.492 0.034 0.990
O: 0.546 0.500 0.458
O: 0.548 0.479 0.026
O: 0.570 0.741 0.932
O: 0.593 0.778 0.371
O: 0.653 0.219 0.392
O: 0.688 0.517 0.750
O: 0.768 0.999 0.220
O: 0.785 0.974 0.743
O: 0.823 0.249 0.682
O: 0.836 0.277 0.125
O: 0.919 0.726 0.137
O: 0.974 0.043 0.489

Computed properties:
Formation energy from raw total energies (eV/atom): -3.368
D(E_F) (states/eV per cell): 0.00
Calculated volume (Å³/cell): 507

7.
Computed, not measured: a crystal of Ba9La3Mg5Nb7O36 relaxed with PBEsol at the SCAN level of DFT.

abc: 5.743 17.256 8.194
angles: 90.00 90.00 90.00
Space group Pmm2 (No. 25)
Unique sites:
Ba: 0.000 0.000 0.000
Ba: 0.000 0.000 0.487
Ba: 0.000 0.338 0.496
Ba: 0.500 0.171 0.485
Ba: 0.500 0.171 0.998
Ba: 0.500 0.500 0.995
La: 0.000 0.328 0.035
La: 0.500 0.500 0.540
Mg: 0.000 0.165 0.245
Mg: 0.000 0.500 0.241
Mg: 0.500 0.334 0.745
Nb: 0.000 0.175 0.743
Nb: 0.000 0.500 0.746
Nb: 0.500 0.000 0.241
Nb: 0.500 0.000 0.742
Nb: 0.500 0.338 0.241
O: 0.000 0.164 0.503
O: 0.000 0.171 0.986
O: 0.000 0.500 0.491
O: 0.000 0.500 0.981
O: 0.242 0.413 0.222
O: 0.246 0.250 0.742
O: 0.246 0.255 0.232
O: 0.253 0.082 0.747
O: 0.255 0.422 0.727
O: 0.258 0.081 0.244
O: 0.500 0.000 0.498
O: 0.500 0.000 0.992
O: 0.500 0.333 0.994
O: 0.500 0.342 0.481

Computed properties:
Formation energy from raw total energies (eV/atom): -3.169
D(E_F) (states/eV per cell): 0.00
Calculated volume (Å³/cell): 812

8.
Computed, not measured: a crystal of BaLaMgRuO6 relaxed with PBEsol at the SCAN level of DFT.

abc: 5.580 5.580 8.044
angles: 90.00 90.00 90.00
Space group I-4 (No. 82)
Unique sites:
Ba: 0.000 0.000 0.000
La: 0.000 0.000 0.500
Mg: 0.000 0.500 0.250
Ru: 0.000 0.500 0.750
O: 0.000 0.500 0.507
O: 0.198 0.212 0.733

Computed properties:
Formation energy from raw total energies (eV/atom): -2.670
Calculated volume (Å³/cell): 250

9.
Computed, not measured: a crystal of BaLaMgTaO6 relaxed with PBEsol at the SCAN level of DFT.

abc: 8.028 8.028 8.028
angles: 90.00 90.00 90.00
Space group F-43m (No. 216)
Unique sites:
Ba: 0.000 0.000 0.000
La: 0.000 0.000 0.500
Mg: 0.250 0.250 0.250
Ta: 0.250 0.250 0.750
O: 0.004 0.250 0.750

Computed properties:
Formation energy from raw total energies (eV/atom): -3.329
D(E_F) (states/eV per cell): 0.00
Calculated volume (Å³/cell): 517

10.
Computed, not measured: a crystal of Ba2La2MgTi3O12 relaxed with PBEsol at the SCAN level of DFT.

abc: 5.6146 5.6146 27.0467
angles: 90.00 90.00 120.00
Space group R-3m (No. 166, hexagonal axes)
Unique sites:
Ba: 0.0000 0.0000 0.1241
La: 0.0000 0.0000 0.3731
Mg: 0.0000 0.0000 0.0000
Ti: 0.0000 0.0000 0.2523
Ti: 0.0000 0.0000 0.5000
O: 0.0096 0.5048 0.1230
O: 0.0177 0.5088 0.3731

Computed properties:
Formation energy from raw total energies (eV/atom): -3.475
D(E_F) (states/eV per cell): 0.00
Calculated volume (Å³/cell): 738

11.
Computed, not measured: a crystal of BaLaMg2Tc relaxed with PBEsol at the SCAN level of DFT.

abc: 5.981 5.981 4.774
angles: 90.00 90.00 90.00
Space group P4/mmm (No. 123)
Unique sites:
Ba: 0.000 0.000 0.000
La: 0.500 0.500 0.500
Mg: 0.000 0.500 0.500
Tc: 0.500 0.500 0.000

Computed properties:
D(E_F) (states/eV per cell): 5.12
Calculated volume (Å³/cell): 171
ΔH_f (0 K) (eV/atom): 0.7804

12.
Computed, not measured: a crystal of BaLa2Mn relaxed with PBEsol at the SCAN level of DFT.

abc: 3.711 6.158 11.330
angles: 90.00 90.00 90.00
Space group Immm (No. 71)
Unique sites:
Ba: 0.000 0.000 0.000
La: 0.000 0.500 0.189
Mn: 0.000 0.000 0.500

Computed properties:
D(E_F) (states/eV per cell): 9.01
Calculated volume (Å³/cell): 259
ΔH_f (0 K) (eV/atom): 0.2454

13.
Computed, not measured: a crystal of Ba2La2Mn4O11 relaxed with PBEsol at the SCAN level of DFT.

abc: 7.990 15.404 3.878
angles: 90.00 90.00 90.00
Space group Cmmm (No. 65)
Unique sites:
Ba: 0.250 0.250 0.000
La: 0.234 0.000 0.000
Mn: 0.000 0.124 0.500
Mn: 0.000 0.378 0.500
O: 0.000 0.000 0.500
O: 0.000 0.117 0.000
O: 0.000 0.248 0.500
O: 0.000 0.404 0.000
O: 0.239 0.392 0.500

Computed properties:
Formation energy from raw total energies (eV/atom): -2.870
D(E_F) (states/eV per cell): 3.41
Calculated volume (Å³/cell): 477

14.
Computed, not measured: a crystal of BaLaMnSbO6 relaxed with PBEsol at the SCAN level of DFT.

abc: 5.699 5.699 8.253
angles: 90.00 90.00 90.00
Space group I-4 (No. 82)
Unique sites:
Ba: 0.000 0.000 0.000
La: 0.000 0.000 0.500
Mn: 0.000 0.500 0.750
Sb: 0.000 0.500 0.250
O: 0.000 0.500 0.007
O: 0.188 0.798 0.271

Computed properties:
Formation energy from raw total energies (eV/atom): -2.627
Calculated volume (Å³/cell): 268

15.
Computed, not measured: a crystal of Ba2LaMo relaxed with PBEsol at the SCAN level of DFT.

abc: 3.7360 3.7360 34.2869
angles: 90.00 90.00 120.00
Space group R3m (No. 160, hexagonal axes)
Unique sites:
Ba: 0.0000 0.0000 0.0000
Ba: 0.0000 0.0000 0.2220
La: 0.0000 0.0000 0.7638
Mo: 0.0000 0.0000 0.4844

Computed properties:
D(E_F) (states/eV per cell): 14.98
Calculated volume (Å³/cell): 414
ΔH_f (0 K) (eV/atom): 0.7867

16.
Computed, not measured: a crystal of BaLaTaMo2 relaxed with PBEsol at the SCAN level of DFT.

abc: 5.022 5.022 5.110
angles: 90.00 90.00 90.00
Space group P4/mmm (No. 123)
Unique sites:
Ba: 0.000 0.000 0.000
La: 0.500 0.500 0.500
Ta: 0.000 0.000 0.500
Mo: 0.000 0.500 0.000

Computed properties:
D(E_F) (states/eV per cell): 4.21
Calculated volume (Å³/cell): 129
ΔH_f (0 K) (eV/atom): 2.4145

17.
Computed, not measured: a crystal of BaLa2TlMo relaxed with PBEsol at the SCAN level of DFT.

abc: 6.016 6.016 5.279
angles: 90.00 90.00 90.00
Space group P4/mmm (No. 123)
Unique sites:
Ba: 0.000 0.000 0.000
La: 0.000 0.500 0.500
Tl: 0.500 0.500 0.500
Mo: 0.500 0.500 0.000

Computed properties:
D(E_F) (states/eV per cell): 5.00
Calculated volume (Å³/cell): 191
ΔH_f (0 K) (eV/atom): 0.6387

18.
Computed, not measured: a crystal of Ba2NaLaPd relaxed with PBEsol at the SCAN level of DFT.

abc: 6.025 6.025 5.608
angles: 90.00 90.00 90.00
Space group P4/mmm (No. 123)
Unique sites:
Ba: 0.000 0.500 0.000
Na: 0.000 0.000 0.500
La: 0.500 0.500 0.500
Pd: 0.000 0.000 0.000

Computed properties:
D(E_F) (states/eV per cell): 5.37
Calculated volume (Å³/cell): 204
ΔH_f (0 K) (eV/atom): 0.1155

19.
Computed, not measured: a crystal of BaNa2LaTl relaxed with PBEsol at the SCAN level of DFT.

abc: 5.789 5.789 6.083
angles: 90.00 90.00 90.00
Space group P4/mmm (No. 123)
Unique sites:
Ba: 0.000 0.000 0.000
Na: 0.000 0.500 0.000
La: 0.500 0.500 0.500
Tl: 0.000 0.000 0.500

Computed properties:
D(E_F) (states/eV per cell): 5.24
Calculated volume (Å³/cell): 204
ΔH_f (0 K) (eV/atom): 0.5732

20.
Computed, not measured: a crystal of BaLaNb3 relaxed with PBEsol at the SCAN level of DFT.

abc: 5.083 5.083 5.083
angles: 90.00 90.00 90.00
Space group Pm-3m (No. 221)
Unique sites:
Ba: 0.000 0.000 0.000
La: 0.500 0.500 0.500
Nb: 0.000 0.500 0.500

Computed properties:
D(E_F) (states/eV per cell): 9.30
Calculated volume (Å³/cell): 131
ΔH_f (0 K) (eV/atom): 1.6514

21.
Computed, not measured: a crystal of Ba3LaNb3O12 relaxed with PBEsol at the SCAN level of DFT.

abc: 5.7559 5.7559 27.6189
angles: 90.00 90.00 120.00
Space group R3m (No. 160, hexagonal axes)
Unique sites:
Ba: 0.0000 0.0000 0.0000
Ba: 0.0000 0.0000 0.1566
Ba: 0.0000 0.0000 0.5779
La: 0.0000 0.0000 0.4331
Nb: 0.0000 0.0000 0.2893
Nb: 0.0000 0.0000 0.7134
Nb: 0.0000 0.0000 0.8641
O: 0.0027 0.5013 0.9954
O: 0.0032 0.5016 0.1631
O: 0.1672 0.3344 0.7446
O: 0.1673 0.3346 0.9121

Computed properties:
Formation energy from raw total energies (eV/atom): -3.137
D(E_F) (states/eV per cell): 0.00
Calculated volume (Å³/cell): 792